[1]
VASP calculation (PBE) on an optimized crystal structure of CaFeP2Ru.

Lattice parameters (Å, degrees): 3.9579 3.9579 5.6925 110.34 110.34 90.00
Last column: nearest neighbours and their distance in Å.
Positions (direct):
Fe  0.7500  0.2500  0.5000  4 P 2.28
Ru  0.2500  0.7500  0.5000  4 P 2.28
P  0.3645  0.3645  0.7289  2 Fe 2.28, 2 Ru 2.28
P  0.6355  0.6355  0.2711  2 Fe 2.28, 2 Ru 2.28
Ca  0.0000  0.0000  0.0000  8 P 3.10, 4 Fe 3.17, 4 Ru 3.17

Properties
SG: I-4m2 (119)
V (Å³/cell): 78
ΔE_f (meV per atom): -851



[2]
VASP calculation (PBE) on an optimized crystal structure of DyBiPt2.

Lattice parameters (Å, degrees): 3.6568 3.6568 6.4574 90.00 90.00 90.00
Last column: nearest neighbours and their distance in Å.
Positions (direct):
Pt  0.0000  0.0000  0.7755  1 Pt 2.90, 4 Dy 2.96, 4 Bi 3.14
Pt  0.0000  0.0000  0.2245  1 Pt 2.90, 4 Dy 2.96, 4 Bi 3.14
Dy  0.5000  0.5000  0.0000  8 Pt 2.96, 2 Bi 3.23
Bi  0.5000  0.5000  0.5000  8 Pt 3.14, 2 Dy 3.23

Properties
SG: P4/mmm (123)
V (Å³/cell): 86
ΔE_f (meV per atom): -742



[3]
VASP calculation (PBE) on an optimized crystal structure of CaInBr2.

Lattice parameters (Å, degrees): 5.5084 10.4721 9.6180 90.00 90.00 90.00
Last column: nearest neighbours and their distance in Å.
Positions (direct):
Br  0.7500  0.3638  0.5768  2 Ca 2.81
Br  0.7500  0.1362  0.0768  2 Ca 2.81
Br  0.7500  0.6050  0.9343  3 Ca 2.93-3.04
Br  0.2500  0.3950  0.9343  3 Ca 2.93-3.04
Br  0.2500  0.1050  0.4343  3 Ca 2.93-3.04
Br  0.2500  0.6362  0.5768  2 Ca 2.81
Br  0.7500  0.8950  0.4343  3 Ca 2.93-3.04
Br  0.2500  0.8638  0.0768  2 Ca 2.81
In  0.2500  0.4385  0.2767  2 In 3.04, 1 Br 3.32
In  0.2500  0.0615  0.7767  2 In 3.04, 1 Br 3.32
In  0.7500  0.9385  0.7767  2 In 3.04, 1 Br 3.32
In  0.7500  0.5615  0.2767  2 In 3.04, 1 Br 3.32
Ca  0.2500  0.6783  0.8654  5 Br 2.81-3.04
Ca  0.7500  0.3217  0.8654  5 Br 2.81-3.04
Ca  0.2500  0.8217  0.3654  5 Br 2.81-3.04
Ca  0.7500  0.1783  0.3654  5 Br 2.81-3.04

Properties
SG: Ima2 (46)
E_form (uncorrected) (eV/atom): -1.24
Offset from the most stable computed form (meV per atom): 38
V (Å³/cell): 555



[4]
VASP calculation (PBE) on an optimized crystal structure of TbGdAlIn.

Lattice parameters (Å, degrees): 5.2444 5.2444 5.2444 60.00 60.00 60.00
Last column: nearest neighbours and their distance in Å.
Positions (direct):
Gd  0.5000  0.5000  0.5000  4 In 3.21, 4 Al 3.21
Al  0.7500  0.7500  0.7500  4 Gd 3.21, 4 Tb 3.21
In  0.2500  0.2500  0.2500  4 Gd 3.21, 4 Tb 3.21
Tb  0.0000  0.0000  0.0000  4 Al 3.21, 4 In 3.21

Properties
SG: F-43m (216)
V (Å³/cell): 102
ΔE_f (meV per atom): -421



[5]
VASP calculation (PBE) on an optimized crystal structure of MgTlSb2Te.

Lattice parameters (Å, degrees): 5.4359 5.4359 5.7022 90.00 90.00 90.00
Last column: nearest neighbours and their distance in Å.
Positions (direct):
Sb  0.0000  0.5000  0.0000  2 Mg 2.72
Sb  0.5000  0.0000  0.0000  2 Mg 2.72
Te  0.0000  0.0000  0.5000  2 Mg 2.85
Mg  0.0000  0.0000  0.0000  4 Sb 2.72, 2 Te 2.85
Tl  0.5000  0.5000  0.5000  4 Te 3.84, 8 Sb 3.94

Properties
SG: P4/mmm (123)
E_form (uncorrected) (eV/atom): 0.26
Offset from the most stable computed form (meV per atom): 0
V (Å³/cell): 168



[6]
VASP calculation (PBE) on an optimized crystal structure of Tl2TcBr5O.

Lattice parameters (Å, degrees): 7.1969 7.1969 7.1969 99.44 114.71 114.71
Last column: nearest neighbours and their distance in Å.
Positions (direct):
Br  0.0000  0.7612  0.2268  1 Tc 2.56
Br  0.0000  0.2538  0.2538  1 Tc 2.62
Br  0.5344  0.7612  0.7612  1 Tc 2.56
Br  0.0000  0.2268  0.7612  1 Tc 2.56
Br  0.4656  0.2268  0.2268  1 Tc 2.56
Tc  0.0000  0.9727  0.9727  1 O 1.68
O  0.0000  0.7919  0.7919  1 Tc 1.68
Tl  0.5000  0.7528  0.2528  10 Br 3.55-3.88, 2 O 3.90
Tl  0.5000  0.2528  0.7528  10 Br 3.55-3.88, 2 O 3.90

Properties
SG: I4mm (107)
E_form (uncorrected) (eV/atom): -0.70
V (Å³/cell): 281